Computed, not measured: a relaxed CdInFeNi2 crystal at the PBE level of DFT.

Summary:
**Size of the total moment**: 3.43 μB per formula unit
**Calculated formation energy**: 1.37 eV/atom
**D(E_F)**: 6.807 states/eV/f.u.

abc: 4.6748 4.6748 5.1425
angles: 90.00 90.00 90.00
Closest atoms and distances in Å follow each position.
Positions (direct):
Ni: 0.0000 0.5000 0.0000  2 In 2.34
Ni: 0.5000 0.0000 0.0000  2 In 2.34
Cd: 0.0000 0.0000 0.5000  2 In 2.57
Fe: 0.5000 0.5000 0.5000  4 Cd 3.31, 8 Ni 3.47
In: 0.0000 0.0000 0.0000  4 Ni 2.34, 2 Cd 2.57